No. 1
DFT (PBE) results for YAu2F after structural relaxation.

POSCAR file:
```
YAu2F
1.0
-4.0528 4.0528 2.5565
4.0528 -4.0528 2.5565
4.0528 4.0528 -2.5565
Y Au F
2 4 2
Direct
0.0000 0.0000 0.0000
0.7500 0.2500 0.5000
0.1318 0.6250 0.0068
0.3750 0.3818 0.5068
0.6182 0.1250 0.9932
0.8750 0.8682 0.4932
0.2500 0.7500 0.5000
0.5000 0.5000 0.0000
```

Computed properties:
- ΔE_f (raw): -1.29 eV per atom
- Electronic total energy: -5.01 eV/atom
- Space-group type: I-42d
- Offset from the most stable computed form: 0 meV per atom
- DOS at the Fermi energy: 1.00 states/eV per cell



No. 2
DFT (PBE) results for YAuF2 after structural relaxation.

POSCAR file:
```
YAuF2
1.0
1.5982 0.9227 9.6012
-1.5982 0.9227 9.6012
0.0000 -1.8455 9.6012
Y Au F
1 1 2
Direct
0.0000 0.0000 0.0000
0.5000 0.5000 0.5000
0.3806 0.3806 0.3806
0.6194 0.6194 0.6194
```

Computed properties:
- ΔE_f (raw): -2.08 eV per atom
- Electronic total energy: -5.45 eV/atom
- Space-group type: R-3m
- Offset from the most stable computed form: 317 meV per atom
- DOS at the Fermi energy: 1.73 states/eV per cell



No. 3
DFT (PBE) results for Y3AuF after structural relaxation.

POSCAR file:
```
Y3AuF
1.0
4.7948 0.0000 0.0000
0.0000 4.7948 0.0000
0.0000 0.0000 4.7948
Y Au F
3 1 1
Direct
0.0000 0.0000 0.5000
0.0000 0.5000 0.0000
0.5000 0.0000 0.0000
0.5000 0.5000 0.5000
0.0000 0.0000 0.0000
```

Computed properties:
- ΔE_f (raw): -1.07 eV per atom
- Electronic total energy: -5.98 eV/atom
- Space-group type: Pm-3m
- Offset from the most stable computed form: 0 meV per atom
- DOS at the Fermi energy: 3.85 states/eV per cell



No. 4
DFT (PBE) results for YAu2F after structural relaxation.

POSCAR file:
```
YAu2F
1.0
0.0000 3.4155 3.4155
3.4155 0.0000 3.4155
3.4155 3.4155 0.0000
Y Au F
1 2 1
Direct
0.0000 0.0000 0.0000
0.2500 0.2500 0.2500
0.7500 0.7500 0.7500
0.5000 0.5000 0.5000
```

Computed properties:
- ΔE_f (raw): -0.98 eV per atom
- Electronic total energy: -4.70 eV/atom
- Space-group type: Fm-3m
- Offset from the most stable computed form: 312 meV per atom
- DOS at the Fermi energy: 0.14 states/eV per cell



No. 5
DFT (PBE) results for Y2Au2F after structural relaxation.

POSCAR file:
```
Y2Au2F
1.0
6.9999 0.0000 0.0000
0.0000 6.9999 0.0000
0.0000 0.0000 4.5473
Y Au F
4 4 2
Direct
0.1746 0.3254 0.0000
0.3254 0.8254 0.0000
0.6746 0.1746 0.0000
0.8254 0.6746 0.0000
0.1381 0.6381 0.5000
0.3619 0.1381 0.5000
0.6381 0.8619 0.5000
0.8619 0.3619 0.5000
0.0000 0.0000 0.0000
0.5000 0.5000 0.0000
```

Computed properties:
- ΔE_f (raw): -1.40 eV per atom
- Electronic total energy: -5.67 eV/atom
- Space-group type: P4/mbm
- DOS at the Fermi energy: 5.23 states/eV per cell



No. 6
DFT (PBE) results for Y2AuF after structural relaxation.

POSCAR file:
```
Y2AuF
1.0
-2.9306 2.9306 6.0005
2.9306 -2.9306 6.0005
2.9306 2.9306 -6.0005
Y Au F
4 2 2
Direct
0.0637 0.6250 0.9387
0.3750 0.3137 0.4387
0.6863 0.1250 0.0613
0.8750 0.9363 0.5613
0.2500 0.7500 0.5000
0.5000 0.5000 0.0000
0.0000 0.0000 0.0000
0.7500 0.2500 0.5000
```

Computed properties:
- ΔE_f (raw): -1.41 eV per atom
- Electronic total energy: -5.93 eV/atom
- Space-group type: I-42d
- Offset from the most stable computed form: 207 meV per atom
- DOS at the Fermi energy: 6.24 states/eV per cell



Question: Look up the ΔE_f (raw) of the third one.
Answer: -1.07 eV per atom